Arrangement i

Compound: In2PPb
Source: Alexandria
Functional: SCAN
Structure: PBEsol geometry

The density of states at the Fermi level comes out at 0.428 states/eV/atom. The total magnetic moment comes out at 0.00 μB/f.u. The density comes out at 7.8 Mg/m³.

Lattice parameters (Å, degrees): 5.8850 8.9323 3.8124 90.00 90.00 90.00
Space group Cmmm (No. 65)
Unique sites:
In1 0.0000 0.2076 0.0000
P1 0.0000 0.0000 0.5000
Pb1 0.0000 0.5000 0.5000

Arrangement ii

Compound: In2PPb
Source: Alexandria
Functional: SCAN
Structure: PBEsol geometry

The density of states at the Fermi level comes out at 0.383 states/eV/atom. The total magnetic moment comes out at 0.00 μB/f.u. The density comes out at 8.0 Mg/m³.

Lattice parameters (Å, degrees): 4.3053 4.3053 10.4130 90.00 90.00 90.00
Space group I4/mmm (No. 139)
Unique sites:
In1 0.0000 0.5000 0.2500
P1 0.0000 0.0000 0.0000
Pb1 0.0000 0.0000 0.5000

Stability order, top to bottom: arrangement i, arrangement ii

Arrangement i

Compound: InP2Se
Source: Alexandria
Functional: SCAN
Structure: PBEsol geometry

The density of states at the Fermi level comes out at 0.655 states/eV/atom. The total magnetic moment comes out at 0.00 μB/f.u. The density comes out at 5.4 Mg/m³.

Lattice parameters (Å, degrees): 3.6366 3.7217 5.8600 90.00 90.00 90.00
Space group Pmmm (No. 47)
Unique sites:
In1 0.0000 0.0000 0.0000
P1 0.0000 0.5000 0.5000
P2 0.5000 0.5000 0.0000
Se1 0.5000 0.0000 0.5000

Arrangement ii

Compound: InP2Se
Source: Alexandria
Functional: SCAN
Structure: PBEsol geometry

The density of states at the Fermi level comes out at 0.403 states/eV/atom. The total magnetic moment comes out at 0.00 μB/f.u. The density comes out at 5.2 Mg/m³.

Lattice parameters (Å, degrees): 3.8789 3.8789 5.4451 90.00 90.00 90.00
Space group P4/mmm (No. 123)
Unique sites:
In1 0.0000 0.0000 0.0000
P1 0.5000 0.5000 0.1973
Se1 0.0000 0.0000 0.5000

Arrangement iii

Compound: InP2Se
Source: Alexandria
Functional: SCAN
Structure: PBEsol geometry

The density of states at the Fermi level comes out at 0.395 states/eV/atom. The total magnetic moment comes out at 0.00 μB/f.u. The density comes out at 5.4 Mg/m³.

Lattice parameters (Å, degrees): 7.4648 7.4661 2.8183 90.00 91.20 90.00
Space group C2/m (No. 12)
Unique sites:
In1 0.0000 0.0000 0.0000
P1 0.2500 0.2500 0.0000
Se1 0.0000 0.5000 0.0000

Stability order, top to bottom: arrangement iii, arrangement ii, arrangement i

Arrangement i

Compound: InP2Se
Source: Alexandria
Functional: SCAN
Structure: PBEsol geometry

The density of states at the Fermi level comes out at 0.619 states/eV/atom. The total magnetic moment comes out at 0.00 μB/f.u. The density comes out at 5.9 Mg/m³.

Lattice parameters (Å, degrees): 6.6075 6.6075 6.6075 90.00 90.00 90.00
Space group F-43m (No. 216)
Unique sites:
In1 0.0000 0.0000 0.0000
P1 0.0000 0.0000 0.5000
P2 0.2500 0.2500 0.7500
Se1 0.2500 0.2500 0.2500

Arrangement ii

Compound: InP2Se
Source: Alexandria
Functional: SCAN
Structure: PBEsol geometry

The density of states at the Fermi level comes out at 0.269 states/eV/atom. The total magnetic moment comes out at 0.00 μB/f.u. The density comes out at 5.5 Mg/m³.

Lattice parameters (Å, degrees): 3.6594 5.3924 7.8871 90.00 90.00 90.00
Space group Amm2 (No. 38)
Unique sites:
In1 0.0000 0.0000 0.0000
P1 0.0000 0.0000 0.5389
P2 0.5000 0.0000 0.7270
Se1 0.5000 0.0000 0.2583

Stability order, top to bottom: arrangement ii, arrangement i

Arrangement i

Compound: In2SiP
Source: Alexandria
Functional: SCAN
Structure: PBEsol geometry

The density of states at the Fermi level comes out at 0.437 states/eV/atom. The total magnetic moment comes out at 0.00 μB/f.u. The density comes out at 5.7 Mg/m³.

Lattice parameters (Å, degrees): 5.6179 7.6360 4.4930 90.00 119.83 90.00
Space group C2/m (No. 12)
Unique sites:
In1 0.2500 0.2500 0.0000
Si1 0.0000 0.0000 0.5000
P1 0.0000 0.5000 0.5000

Arrangement ii

Compound: In2SiP
Source: Alexandria
Functional: SCAN
Structure: PBEsol geometry

The density of states at the Fermi level comes out at 0.312 states/eV/atom. The total magnetic moment comes out at 0.00 μB/f.u. The density comes out at 5.9 Mg/m³.

Lattice parameters (Å, degrees): 10.9650 3.3817 4.9387 90.00 116.72 90.00
Space group Cm (No. 8)
Unique sites:
In1 0.0000 0.0000 0.0000
In2 0.2065 0.0000 0.7066
Si1 0.4411 0.0000 0.4410
P1 0.2801 0.5000 0.2811

Arrangement iii

Compound: In2SiP
Source: Alexandria
Functional: SCAN
Structure: PBEsol geometry

The density of states at the Fermi level comes out at 0.412 states/eV/atom. The total magnetic moment comes out at 0.00 μB/f.u. The density comes out at 6.0 Mg/m³.

Lattice parameters (Å, degrees): 5.9982 7.2459 3.6495 90.00 90.00 90.00
Space group Cmmm (No. 65)
Unique sites:
In1 0.2500 0.2500 0.0000
Si1 0.0000 0.0000 0.5000
P1 0.0000 0.5000 0.5000

Stability order, top to bottom: arrangement ii, arrangement i, arrangement iii

Arrangement i

Compound: In2SiP
Source: Alexandria
Functional: SCAN
Structure: PBEsol geometry

The density of states at the Fermi level comes out at 0.536 states/eV/atom. The total magnetic moment comes out at 0.00 μB/f.u. The density comes out at 4.6 Mg/m³.

Lattice parameters (Å, degrees): 6.0116 6.0116 11.5898 90.00 90.00 90.00
Space group I-42d (No. 122)
Unique sites:
In1 0.2440 0.2500 0.1250
Si1 0.0000 0.0000 0.5000
P1 0.0000 0.0000 0.0000

Arrangement ii

Compound: In2SiP
Source: Alexandria
Functional: SCAN
Structure: PBEsol geometry

The density of states at the Fermi level comes out at 0.399 states/eV/atom. The total magnetic moment comes out at 0.00 μB/f.u. The density comes out at 5.8 Mg/m³.

Lattice parameters (Å, degrees): 3.8556 5.4018 7.8748 90.00 90.00 90.00
Space group Immm (No. 71)
Unique sites:
In1 0.0000 0.0000 0.2433
Si1 0.0000 0.5000 0.0000
P1 0.0000 0.5000 0.5000

Stability order, top to bottom: arrangement i, arrangement ii

Arrangement i

Compound: Y2InP
Source: Alexandria
Functional: SCAN
Structure: PBEsol geometry

The density of states at the Fermi level comes out at 0.417 states/eV/atom. The total magnetic moment comes out at 0.00 μB/f.u. The density comes out at 5.3 Mg/m³.

Lattice parameters (Å, degrees): 3.8514 3.8514 23.5186 90.00 90.00 120.00
Space group R-3m (No. 166, hexagonal axes)
Unique sites:
Y1 0.0000 0.0000 0.2343
In1 0.0000 0.0000 0.0000
P1 0.0000 0.0000 0.5000

Arrangement ii

Compound: Y2InP
Source: Alexandria
Functional: SCAN
Structure: PBEsol geometry

The density of states at the Fermi level comes out at 0.599 states/eV/atom. The total magnetic moment comes out at 0.00 μB/f.u. The density comes out at 5.9 Mg/m³.

Lattice parameters (Å, degrees): 4.8446 4.8611 7.7723 90.00 90.00 90.00
Space group Cmmm (No. 65)
Unique sites:
Y1 0.0000 0.0000 0.2098
In1 0.0000 0.5000 0.5000
P1 0.0000 0.5000 0.0000

Stability order, top to bottom: arrangement i, arrangement ii

Arrangement i

Compound: ZrInP
Source: Alexandria
Functional: SCAN
Structure: PBEsol geometry

The density of states at the Fermi level comes out at 0.501 states/eV/atom. The total magnetic moment comes out at 0.00 μB/f.u. The density comes out at 6.3 Mg/m³.

Lattice parameters (Å, degrees): 3.4863 3.4863 10.2298 90.00 90.00 90.00
Space group I4mm (No. 107)
Unique sites:
Zr1 0.0000 0.0000 0.0000
In1 0.0000 0.0000 0.2961
P1 0.0000 0.0000 0.5716

Arrangement ii

Compound: ZrInP
Source: Alexandria
Functional: SCAN
Structure: PBEsol geometry

The density of states at the Fermi level comes out at 0.762 states/eV/atom. The total magnetic moment comes out at 0.00 μB/f.u. The density comes out at 6.1 Mg/m³.

Lattice parameters (Å, degrees): 3.6137 3.6137 5.7157 90.00 90.00 120.00
Space group P3m1 (No. 156)
Unique sites:
Zr1 0.0000 0.0000 0.0000
In1 0.3333 0.6667 0.5932
P1 0.6667 0.3333 0.2497

Stability order, top to bottom: arrangement i, arrangement ii

Arrangement i

Compound: In2Pb
Source: Alexandria
Functional: SCAN
Structure: PBEsol geometry

The density of states at the Fermi level comes out at 0.445 states/eV/atom. The total magnetic moment comes out at 0.00 μB/f.u. The density comes out at 8.9 Mg/m³.

Lattice parameters (Å, degrees): 9.2417 9.2417 3.3124 90.00 90.00 120.00
Space group P-62m (No. 189)
Unique sites:
In1 0.0000 0.3105 0.0000
In2 0.0000 0.6414 0.5000
Pb1 0.0000 0.0000 0.5000
Pb2 0.3333 0.6667 0.0000

Arrangement ii

Compound: In2Pb
Source: Alexandria
Functional: SCAN
Structure: PBEsol geometry

The density of states at the Fermi level comes out at 0.500 states/eV/atom. The total magnetic moment comes out at 0.00 μB/f.u. The density comes out at 9.0 Mg/m³.

Lattice parameters (Å, degrees): 3.4614 3.4614 13.4746 90.00 90.00 90.00
Space group I4/mmm (No. 139)
Unique sites:
In1 0.0000 0.0000 0.1708
Pb1 0.0000 0.0000 0.5000

Arrangement iii

Compound: In2Pb
Source: Alexandria
Functional: SCAN
Structure: PBEsol geometry

The density of states at the Fermi level comes out at 0.471 states/eV/atom. The total magnetic moment comes out at 0.00 μB/f.u. The density comes out at 8.9 Mg/m³.

Lattice parameters (Å, degrees): 5.4693 5.4693 6.2918 90.00 90.00 120.00
Space group P6_3/mmc (No. 194)
Unique sites:
In1 0.0000 0.0000 0.0000
In2 0.3333 0.6667 0.2500
Pb1 0.3333 0.6667 0.7500

Arrangement iv

Compound: In2Pb
Source: Alexandria
Functional: SCAN
Structure: PBEsol geometry

The density of states at the Fermi level comes out at 0.370 states/eV/atom. The total magnetic moment comes out at 0.00 μB/f.u. The density comes out at 8.9 Mg/m³.

Lattice parameters (Å, degrees): 8.6800 8.6800 8.6800 90.00 90.00 90.00
Space group Fd-3m (No. 227, origin choice 2)
Unique sites:
In1 0.0000 0.0000 0.0000
Pb1 0.1250 0.1250 0.6250

Stability order, top to bottom: arrangement ii, arrangement i, arrangement iii, arrangement iv

Arrangement i

Compound: RbIn2Pb2
Source: Alexandria
Functional: SCAN
Structure: PBEsol geometry

The density of states at the Fermi level comes out at 0.294 states/eV/atom. The total magnetic moment comes out at 0.00 μB/f.u. The density comes out at 7.4 Mg/m³.

Lattice parameters (Å, degrees): 5.1845 5.1845 12.1870 90.00 90.00 90.00
Space group I4/mmm (No. 139)
Unique sites:
Rb1 0.0000 0.0000 0.0000
In1 0.0000 0.0000 0.3836
Pb1 0.0000 0.5000 0.2500

Arrangement ii

Compound: RbIn2Pb2
Source: Alexandria
Functional: SCAN
Structure: PBEsol geometry

The density of states at the Fermi level comes out at 0.495 states/eV/atom. The total magnetic moment comes out at 0.00 μB/f.u. The density comes out at 7.7 Mg/m³.

Lattice parameters (Å, degrees): 9.4374 9.4374 3.5143 90.00 90.00 90.00
Space group P4/mbm (No. 127)
Unique sites:
Rb1 0.0000 0.0000 0.0000
In1 0.1506 0.3494 0.5000
Pb1 0.1376 0.6376 0.0000

Stability order, top to bottom: arrangement i, arrangement ii

Arrangement i

Compound: InSbPb2
Source: Alexandria
Functional: SCAN
Structure: PBEsol geometry

The density of states at the Fermi level comes out at 0.542 states/eV/atom. The total magnetic moment comes out at 0.00 μB/f.u. The density comes out at 9.6 Mg/m³.

Lattice parameters (Å, degrees): 4.8832 4.8832 4.7303 90.00 90.00 90.00
Space group P4/mmm (No. 123)
Unique sites:
In1 0.0000 0.0000 0.0000
Sb1 0.5000 0.5000 0.0000
Pb1 0.0000 0.5000 0.5000

Arrangement ii

Compound: InSbPb2
Source: Alexandria
Functional: SCAN
Structure: PBEsol geometry

The density of states at the Fermi level comes out at 0.471 states/eV/atom. The total magnetic moment comes out at 0.00 μB/f.u. The density comes out at 9.6 Mg/m³.

Lattice parameters (Å, degrees): 3.4248 4.7429 6.9053 90.00 90.00 90.00
Space group Pmm2 (No. 25)
Unique sites:
In1 0.0000 0.0000 0.0000
Sb1 0.5000 0.5000 0.7701
Pb1 0.0000 0.0000 0.5164
Pb2 0.5000 0.5000 0.2469

Stability order, top to bottom: arrangement i, arrangement ii

Arrangement i

Compound: InSbPb2
Source: Alexandria
Functional: SCAN
Structure: PBEsol geometry

The density of states at the Fermi level comes out at 0.654 states/eV/atom. The total magnetic moment comes out at 0.00 μB/f.u. The density comes out at 9.7 Mg/m³.

Lattice parameters (Å, degrees): 7.6511 7.6511 7.6511 90.00 90.00 90.00
Space group F-43m (No. 216)
Unique sites:
In1 0.0000 0.0000 0.0000
Sb1 0.2500 0.2500 0.7500
Pb1 0.0000 0.0000 0.5000
Pb2 0.2500 0.2500 0.2500

Arrangement ii

Compound: InSbPb2
Source: Alexandria
Functional: SCAN
Structure: PBEsol geometry

The density of states at the Fermi level comes out at 0.469 states/eV/atom. The total magnetic moment comes out at 0.00 μB/f.u. The density comes out at 9.6 Mg/m³.

Lattice parameters (Å, degrees): 4.1449 5.1920 10.4498 90.00 90.00 90.00
Space group Imm2 (No. 44)
Unique sites:
In1 0.0000 0.0000 0.0000
Sb1 0.0000 0.5000 0.2719
Pb1 0.0000 0.0000 0.5303
Pb2 0.0000 0.5000 0.7559

Stability order, top to bottom: arrangement ii, arrangement i

Arrangement i

Compound: In2SbPb
Source: Alexandria
Functional: SCAN
Structure: PBEsol geometry

The density of states at the Fermi level comes out at 0.429 states/eV/atom. The total magnetic moment comes out at 0.00 μB/f.u. The density comes out at 8.6 Mg/m³.

Lattice parameters (Å, degrees): 3.2106 5.2325 6.5340 90.00 100.35 90.00
Space group P2/m (No. 10)
Unique sites:
In1 0.0788 0.0000 0.2557
Sb1 0.5000 0.5000 0.5000
Pb1 0.5000 0.5000 0.0000

Arrangement ii

Compound: In2SbPb
Source: Alexandria
Functional: SCAN
Structure: PBEsol geometry

The density of states at the Fermi level comes out at 0.439 states/eV/atom. The total magnetic moment comes out at 0.00 μB/f.u. The density comes out at 8.6 Mg/m³.

Lattice parameters (Å, degrees): 3.9345 3.9345 6.9707 90.00 90.00 90.00
Space group P4mm (No. 99)
Unique sites:
In1 0.0000 0.0000 0.0000
In2 0.5000 0.5000 0.2446
Sb1 0.5000 0.5000 0.7784
Pb1 0.0000 0.0000 0.5129

Stability order, top to bottom: arrangement ii, arrangement i